The following is a DFT calculation (PBE) of La2Cu3Hg after structural relaxation.

Values from the calculation:
- DOS at the Fermi energy: 33.04 states/eV/cell
- Formation enthalpy at 0 K: -258 meV per atom
- Electronic total energy: -191.97 eV per cell
- Volume: 136.7 Å³/f.u.
- ΔE to the lowest computed polymorph: 0.00 kJ/mol of atoms
- Density: 8.1 Mg/m³

Lattice parameters (Å, degrees): 7.693 9.117 15.590 90.00 90.00 90.00
Space group Fmmm (No. 69)
Inequivalent atoms, fractional coordinates:
La: 0.242 0.000 0.000 x8
La: 0.250 0.250 0.250 x8
Cu: 0.000 0.000 0.160 x8
Cu: 0.000 0.240 0.081 x16
Hg: 0.000 0.000 0.334 x8